No. 1
DyEr3Bi3: optimized geometry, PBE.

Lattice parameters (Å, degrees): 9.0335 9.0335 18.7494 90.00 90.00 120.00
Last column: nearest neighbours and their distance in Å.
Space group R-3 (No. 148, hexagonal axes)
One atom of each set of equivalent atoms:
Dy: 0.0000 0.0000 0.1663 x6  6 Bi 3.21-3.22
Er: 0.0006 0.2537 0.5809 x18  5 Bi 3.11-3.36
Bi: 0.0016 0.3924 0.4144 x18  5 Er 3.11-3.36, 2 Dy 3.21-3.22

Computed properties:
Total magnetization = 0.000 μB/atom
DFT formation energy = -4.32 eV/f.u.



No. 2
RbIn2PdBr8: optimized geometry, PBE.

Lattice parameters (Å, degrees): 6.9068 6.9068 31.8545 90.00 90.00 120.00
Last column: nearest neighbours and their distance in Å.
Space group R32 (No. 155, hexagonal axes)
One atom of each set of equivalent atoms:
Rb: 0.0000 0.0000 0.0000 x3  12 Br 3.99-4.15
In: 0.0000 0.0000 0.2475 x6  4 Br 2.56
Pd: 0.0000 0.0000 0.5000 x3  6 Br 2.85
Br: 0.0000 0.0000 0.3278 x6  1 In 2.56
Br: 0.0123 0.3613 0.2247 x18  1 In 2.56, 1 Pd 2.85

Computed properties:
Formation energy (no corrections) = -0.759 eV/atom
Total magnetization = 0.083 μB/atom



No. 3
ZnFeIr2Rh: optimized geometry, PBE.

Lattice parameters (Å, degrees): 4.7181 4.7181 4.5602 90.00 90.00 90.00
Last column: nearest neighbours and their distance in Å.
Space group P4/mmm (No. 123)
One atom of each set of equivalent atoms:
Zn: 0.0000 0.0000 0.0000 x1  2 Rh 2.28
Fe: 0.5000 0.5000 0.0000 x1  8 Ir 3.28, 4 Zn 3.34
Ir: 0.0000 0.5000 0.5000 x2  2 Rh 2.36
Rh: 0.0000 0.0000 0.5000 x1  2 Zn 2.28, 4 Ir 2.36

Computed properties:
Total magnetization = 0.764 μB/atom
DFT formation energy = 7.84 eV/f.u.



No. 4
LiCrSnPd: optimized geometry, PBE.

Lattice parameters (Å, degrees): 6.3686 6.3686 6.3686 90.00 90.00 90.00
Last column: nearest neighbours and their distance in Å.
Space group F-43m (No. 216)
One atom of each set of equivalent atoms:
Li: 0.0000 0.0000 0.0000 x4  4 Cr 2.76, 4 Pd 2.76
Cr: 0.2500 0.2500 0.2500 x4  4 Sn 2.76, 4 Li 2.76
Sn: 0.0000 0.0000 0.5000 x4  4 Pd 2.76, 4 Cr 2.76
Pd: 0.2500 0.2500 0.7500 x4  4 Sn 2.76, 4 Li 2.76

Computed properties:
Total magnetization = 0.854 μB/atom
DFT formation energy = -0.93 eV/f.u.



No. 5
Pr12Ni6Ag: optimized geometry, PBE.

Lattice parameters (Å, degrees): 10.0970 10.0970 10.0970 90.00 90.00 90.00
Last column: nearest neighbours and their distance in Å.
Space group Im-3 (No. 204)
One atom of each set of equivalent atoms:
Pr: 0.0000 0.1861 0.3058 x24  3 Ni 2.76-2.98
Ni: 0.0000 0.3784 0.5000 x12  1 Ni 2.45
Ag: 0.0000 0.0000 0.0000 x2  12 Pr 3.61

Computed properties:
Total magnetization = 0.000 μB/atom
DFT formation energy = -4.05 eV/f.u.



No. 6
Y2InSe: optimized geometry, PBE.

Lattice parameters (Å, degrees): 3.5175 3.5092 8.0612 90.00 90.10 90.00
Last column: nearest neighbours and their distance in Å.
Space group P2/m (No. 10)
One atom of each set of equivalent atoms:
Y: 0.0012 0.0000 0.2711 x2  4 Se 3.09-3.10, 4 In 3.31
In: 0.5000 0.5000 0.0000 x1  8 Y 3.31, 4 In 3.51-3.52
Se: 0.5000 0.5000 0.5000 x1  8 Y 3.09-3.10

Computed properties:
Formation energy (no corrections) = -0.951 eV/atom
Total magnetization = 0.001 μB/atom